[1]
Zr4Ti2Bi after structural relaxation. Source: Alexandria via LeMat-Bulk, functional PBE-GGA.

Cell lengths 5.3993, 5.3993, 7.6197 Å; angles 69.25, 69.25, 90.00 degrees
Last column: nearest neighbours and their distance in Å.
Atoms (fractional coordinates):
Ti (0.4055, 0.4055, 0.1890)  1 Ti 2.49, 1 Zr 2.52
Ti (0.5945, 0.5945, 0.8110)  1 Ti 2.49, 1 Zr 2.52
Zr (0.0000, 0.5000, 0.0000)  2 Bi 2.70, 4 Ti 2.97
Zr (0.5000, 0.0000, 0.0000)  2 Bi 2.70, 4 Ti 2.97
Zr (0.2142, 0.2142, 0.5716)  1 Ti 2.52, 1 Bi 2.82
Zr (0.7858, 0.7858, 0.4284)  1 Ti 2.52, 1 Bi 2.82
Bi (0.0000, 0.0000, 0.0000)  6 Zr 2.70-2.82

Properties
The total magnetization is 0.4 μB/cell. As for the energy relative to the elements: 95.0 kJ per mole of atoms. The density of states at the Fermi level comes out at 9.64 states/eV/f.u.

[2]
Al2PbCl8 after structural relaxation. Source: Alexandria via LeMat-Bulk, functional PBE-GGA.

Cell lengths 11.7783, 11.8237, 20.2187 Å; angles 90.00, 90.00, 90.00 degrees
Last column: nearest neighbours and their distance in Å.
Atoms (fractional coordinates):
Cl (0.8958, 0.3382, 0.2884)  1 Al 2.16
Cl (0.2889, 0.7376, 0.4032)  1 Al 2.16
Cl (0.4982, 0.9029, 0.3286)  1 Al 2.16
Cl (0.0018, 0.9029, 0.8286)  1 Al 2.16
Cl (0.3370, 0.2205, 0.9215)  1 Al 2.16
Cl (0.4066, 0.6102, 0.0172)  1 Al 2.16
Cl (0.9931, 0.9903, 0.6582)  1 Al 2.16
Cl (0.3581, 0.9136, 0.0035)  1 Al 2.16
Cl (0.2111, 0.2376, 0.5968)  1 Al 2.16
Cl (0.5069, 0.9903, 0.1582)  1 Al 2.16
Cl (0.0934, 0.1102, 0.9828)  1 Al 2.16
Cl (0.6982, 0.6017, 0.2363)  1 Al 2.16
Cl (0.1042, 0.1618, 0.7884)  1 Al 2.16
Cl (0.9066, 0.3898, 0.4828)  1 Al 2.16
Cl (0.4931, 0.0097, 0.8418)  1 Al 2.16
Cl (0.1419, 0.4136, 0.9965)  1 Al 2.16
Cl (0.0069, 0.5097, 0.1582)  1 Al 2.16
Cl (0.1982, 0.8983, 0.2363)  1 Al 2.16
Cl (0.8581, 0.0864, 0.4965)  1 Al 2.16
Cl (0.2111, 0.7376, 0.9032)  1 Al 2.16
Cl (0.7111, 0.7624, 0.9032)  1 Al 2.16
Cl (0.5018, 0.0971, 0.6714)  1 Al 2.16
Cl (0.3018, 0.3983, 0.7637)  1 Al 2.16
Cl (0.0069, 0.0097, 0.3418)  1 Al 2.16
Cl (0.4931, 0.5097, 0.6582)  1 Al 2.16
Cl (0.3581, 0.4136, 0.4965)  1 Al 2.16
Cl (0.6419, 0.0864, 0.9965)  1 Al 2.16
Cl (0.0018, 0.4029, 0.6714)  1 Al 2.16
Cl (0.7111, 0.2624, 0.5968)  1 Al 2.16
Cl (0.9066, 0.8898, 0.0172)  1 Al 2.16
Cl (0.7889, 0.2624, 0.0968)  1 Al 2.16
Cl (0.6042, 0.8382, 0.7116)  1 Al 2.16
Cl (0.1630, 0.7205, 0.0785)  1 Al 2.16
Cl (0.2889, 0.2376, 0.0968)  1 Al 2.16
Cl (0.5069, 0.4903, 0.3418)  1 Al 2.16
Cl (0.1042, 0.6618, 0.7116)  1 Al 2.16
Cl (0.8018, 0.1017, 0.7637)  1 Al 2.16
Cl (0.8581, 0.5864, 0.0035)  1 Al 2.16
Cl (0.6630, 0.7795, 0.0785)  1 Al 2.16
Cl (0.1419, 0.9136, 0.5035)  1 Al 2.16
Cl (0.8958, 0.8382, 0.2116)  1 Al 2.16
Cl (0.4066, 0.1102, 0.4828)  1 Al 2.16
Cl (0.3958, 0.1618, 0.2884)  1 Al 2.16
Cl (0.6630, 0.2795, 0.4215)  1 Al 2.16
Cl (0.0934, 0.6102, 0.5172)  1 Al 2.16
Cl (0.5934, 0.8898, 0.5172)  1 Al 2.16
Cl (0.6042, 0.3382, 0.7884)  1 Al 2.16
Cl (0.7889, 0.7624, 0.4032)  1 Al 2.16
Cl (0.5934, 0.3898, 0.9828)  1 Al 2.16
Cl (0.9982, 0.5971, 0.3286)  1 Al 2.16
Cl (0.1982, 0.3983, 0.2637)  1 Al 2.16
Cl (0.6419, 0.5864, 0.5035)  1 Al 2.16
Cl (0.8370, 0.2795, 0.9215)  1 Al 2.16
Cl (0.3018, 0.8983, 0.7363)  1 Al 2.16
Cl (0.3370, 0.7205, 0.5785)  1 Al 2.16
Cl (0.8018, 0.6017, 0.7363)  1 Al 2.16
Cl (0.5018, 0.5971, 0.8286)  1 Al 2.16
Cl (0.6982, 0.1017, 0.2637)  1 Al 2.16
Cl (0.9931, 0.4903, 0.8418)  1 Al 2.16
Cl (0.8370, 0.7795, 0.5785)  1 Al 2.16
Cl (0.4982, 0.4029, 0.1714)  1 Al 2.16
Cl (0.1630, 0.2205, 0.4215)  1 Al 2.16
Cl (0.9982, 0.0971, 0.1714)  1 Al 2.16
Cl (0.3958, 0.6618, 0.2116)  1 Al 2.16
Al (0.0250, 0.9590, 0.2396)  4 Cl 2.16
Al (0.2139, 0.2452, 0.9994)  4 Cl 2.16
Al (0.2139, 0.7452, 0.5006)  4 Cl 2.16
Al (0.0250, 0.4590, 0.2604)  4 Cl 2.16
Al (0.7139, 0.7548, 0.5006)  4 Cl 2.16
Al (0.9750, 0.0410, 0.7604)  4 Cl 2.16
Al (0.4750, 0.4590, 0.7604)  4 Cl 2.16
Al (0.7861, 0.7548, 0.0006)  4 Cl 2.16
Al (0.7139, 0.2548, 0.9994)  4 Cl 2.16
Al (0.9750, 0.5410, 0.7396)  4 Cl 2.16
Al (0.7861, 0.2548, 0.4994)  4 Cl 2.16
Al (0.2861, 0.7452, 0.0006)  4 Cl 2.16
Al (0.2861, 0.2452, 0.4994)  4 Cl 2.16
Al (0.5250, 0.5410, 0.2396)  4 Cl 2.16
Al (0.5250, 0.0410, 0.2604)  4 Cl 2.16
Al (0.4750, 0.9590, 0.7396)  4 Cl 2.16
Pb (0.2616, 0.4927, 0.1247)  8 Cl 3.08-3.13
Pb (0.7616, 0.5073, 0.3753)  8 Cl 3.08-3.13
Pb (0.7616, 0.0073, 0.1247)  8 Cl 3.08-3.13
Pb (0.7384, 0.0073, 0.6247)  8 Cl 3.08-3.13
Pb (0.2384, 0.9927, 0.8753)  8 Cl 3.08-3.13
Pb (0.7384, 0.5073, 0.8753)  8 Cl 3.08-3.13
Pb (0.2384, 0.4927, 0.6247)  8 Cl 3.08-3.13
Pb (0.2616, 0.9927, 0.3753)  8 Cl 3.08-3.13

Properties
The total magnetization is 0.0 μB/cell. The formation energy from raw total energies comes out at -1.461 eV per atom. The density of states at the Fermi level comes out at 0.00 states/eV/f.u.

[3]
Na2Au3 after structural relaxation. Source: Alexandria via LeMat-Bulk, functional PBE-GGA.

Cell lengths 4.7743, 5.5566, 5.6488 Å; angles 119.46, 114.96, 90.00 degrees
Last column: nearest neighbours and their distance in Å.
Atoms (fractional coordinates):
Au (0.5000, 0.7426, 0.0000)  4 Au 2.70-2.86
Au (0.5000, 0.2574, 0.0000)  4 Au 2.70-2.86
Au (0.0000, 0.0000, 0.0000)  4 Au 2.78
Na (0.1894, 0.6895, 0.3789)  8 Au 3.03-3.22, 1 Na 3.26
Na (0.8106, 0.3105, 0.6211)  8 Au 3.03-3.22, 1 Na 3.26

Properties
The total magnetization is 0.0 μB/cell. As for the energy relative to the elements: -31.7 kJ per mole of atoms. The density of states at the Fermi level comes out at 1.05 states/eV/f.u.

[4]
Tl3Sn12Hg5 after structural relaxation. Source: Alexandria via LeMat-Bulk, functional PBE-GGA.

Cell lengths 15.2032, 15.2032, 15.2032 Å; angles 109.47, 109.47, 109.47 degrees
Last column: nearest neighbours and their distance in Å.
Atoms (fractional coordinates):
Hg (0.0000, 0.5000, 0.5000)  6 Sn 2.97
Hg (0.7500, 0.1250, 0.8750)  4 Sn 2.96
Hg (0.3750, 0.1250, 0.7500)  4 Sn 2.96
Hg (0.0000, 0.0000, 0.0000)  6 Sn 2.97
Hg (0.2500, 0.3750, 0.6250)  4 Sn 2.96
Hg (0.1250, 0.3750, 0.2500)  4 Sn 2.96
Hg (0.1250, 0.7500, 0.3750)  4 Sn 2.96
Hg (0.7500, 0.6250, 0.3750)  4 Sn 2.96
Hg (0.6250, 0.7500, 0.8750)  4 Sn 2.96
Hg (0.5000, 0.5000, 0.0000)  6 Sn 2.97
Hg (0.8750, 0.6250, 0.7500)  4 Sn 2.96
Hg (0.2500, 0.8750, 0.1250)  4 Sn 2.96
Hg (0.0000, 0.0000, 0.5000)  6 Sn 2.97
Hg (0.6250, 0.8750, 0.2500)  4 Sn 2.96
Hg (0.0000, 0.5000, 0.0000)  6 Sn 2.97
Hg (0.3750, 0.2500, 0.1250)  4 Sn 2.96
Hg (0.5000, 0.0000, 0.0000)  6 Sn 2.97
Hg (0.5000, 0.0000, 0.5000)  6 Sn 2.97
Hg (0.8750, 0.2500, 0.6250)  4 Sn 2.96
Hg (0.5000, 0.5000, 0.5000)  6 Sn 2.97
Sn (0.7267, 0.5873, 0.1623)  2 Hg 2.96-2.97, 2 Tl 3.10-3.25, 1 Sn 3.24
Sn (0.0750, 0.1623, 0.4356)  2 Hg 2.96-2.97, 2 Tl 3.10-3.25, 1 Sn 3.24
Sn (0.0873, 0.1623, 0.2267)  2 Hg 2.96-2.97, 2 Tl 3.10-3.25, 1 Sn 3.24
Sn (0.9250, 0.0873, 0.8606)  2 Hg 2.96-2.97, 2 Tl 3.10-3.25, 1 Sn 3.24
Sn (0.4127, 0.1394, 0.5750)  2 Hg 2.96-2.97, 2 Tl 3.10-3.25, 1 Sn 3.24
Sn (0.1394, 0.7267, 0.5644)  2 Hg 2.96-2.97, 2 Tl 3.10-3.25, 1 Sn 3.24
Sn (0.2267, 0.5644, 0.6394)  2 Hg 2.96-2.97, 2 Tl 3.10-3.25, 1 Sn 3.24
Sn (0.7733, 0.4356, 0.3606)  2 Hg 2.96-2.97, 2 Tl 3.10-3.25, 1 Sn 3.24
Sn (0.0873, 0.9250, 0.3606)  2 Hg 2.96-2.97, 2 Tl 3.10-3.25, 1 Sn 3.24
Sn (0.5644, 0.2267, 0.1394)  2 Hg 2.96-2.97, 2 Tl 3.10-3.25, 1 Sn 3.24
Sn (0.1623, 0.0873, 0.7267)  2 Hg 2.96-2.97, 2 Tl 3.10-3.25, 1 Sn 3.24
Sn (0.5750, 0.6394, 0.4127)  2 Hg 2.96-2.97, 2 Tl 3.10-3.25, 1 Sn 3.24
Sn (0.9356, 0.5750, 0.1623)  2 Hg 2.96-2.97, 2 Tl 3.10-3.25, 1 Sn 3.24
Sn (0.4250, 0.0644, 0.3377)  2 Hg 2.96-2.97, 2 Tl 3.10-3.25, 1 Sn 3.24
Sn (0.6394, 0.0644, 0.2267)  2 Hg 2.96-2.97, 2 Tl 3.10-3.25, 1 Sn 3.24
Sn (0.5644, 0.3377, 0.9250)  2 Hg 2.96-2.97, 2 Tl 3.10-3.25, 1 Sn 3.24
Sn (0.1394, 0.4127, 0.0750)  2 Hg 2.96-2.97, 2 Tl 3.10-3.25, 1 Sn 3.24
Sn (0.8606, 0.2733, 0.4356)  2 Hg 2.96-2.97, 2 Tl 3.10-3.25, 1 Sn 3.24
Sn (0.3606, 0.9356, 0.7733)  2 Hg 2.96-2.97, 2 Tl 3.10-3.25, 1 Sn 3.24
Sn (0.5750, 0.9356, 0.6623)  2 Hg 2.96-2.97, 2 Tl 3.10-3.25, 1 Sn 3.24
Sn (0.2733, 0.4127, 0.8377)  2 Hg 2.96-2.97, 2 Tl 3.10-3.25, 1 Sn 3.24
Sn (0.0644, 0.6394, 0.7267)  2 Hg 2.96-2.97, 2 Tl 3.10-3.25, 1 Sn 3.24
Sn (0.9250, 0.8377, 0.5644)  2 Hg 2.96-2.97, 2 Tl 3.10-3.25, 1 Sn 3.24
Sn (0.3606, 0.4250, 0.0873)  2 Hg 2.96-2.97, 2 Tl 3.10-3.25, 1 Sn 3.24
Sn (0.4127, 0.2733, 0.3377)  2 Hg 2.96-2.97, 2 Tl 3.10-3.25, 1 Sn 3.24
Sn (0.5873, 0.8606, 0.4250)  2 Hg 2.96-2.97, 2 Tl 3.10-3.25, 1 Sn 3.24
Sn (0.2733, 0.8606, 0.9356)  2 Hg 2.96-2.97, 2 Tl 3.10-3.25, 1 Sn 3.24
Sn (0.2267, 0.6623, 0.0873)  2 Hg 2.96-2.97, 2 Tl 3.10-3.25, 1 Sn 3.24
Sn (0.6623, 0.4356, 0.5750)  2 Hg 2.96-2.97, 2 Tl 3.10-3.25, 1 Sn 3.24
Sn (0.3377, 0.7733, 0.4127)  2 Hg 2.96-2.97, 2 Tl 3.10-3.25, 1 Sn 3.24
Sn (0.4356, 0.6623, 0.0750)  2 Hg 2.96-2.97, 2 Tl 3.10-3.25, 1 Sn 3.24
Sn (0.6623, 0.2267, 0.5873)  2 Hg 2.96-2.97, 2 Tl 3.10-3.25, 1 Sn 3.24
Sn (0.0644, 0.4250, 0.8377)  2 Hg 2.96-2.97, 2 Tl 3.10-3.25, 1 Sn 3.24
Sn (0.1623, 0.0750, 0.9356)  2 Hg 2.96-2.97, 2 Tl 3.10-3.25, 1 Sn 3.24
Sn (0.9356, 0.3606, 0.2733)  2 Hg 2.96-2.97, 2 Tl 3.10-3.25, 1 Sn 3.24
Sn (0.9127, 0.0750, 0.6394)  2 Hg 2.96-2.97, 2 Tl 3.10-3.25, 1 Sn 3.24
Sn (0.6394, 0.5750, 0.9127)  2 Hg 2.96-2.97, 2 Tl 3.10-3.25, 1 Sn 3.24
Sn (0.8377, 0.9127, 0.2733)  2 Hg 2.96-2.97, 2 Tl 3.10-3.25, 1 Sn 3.24
Sn (0.8377, 0.9250, 0.0644)  2 Hg 2.96-2.97, 2 Tl 3.10-3.25, 1 Sn 3.24
Sn (0.5873, 0.7267, 0.6623)  2 Hg 2.96-2.97, 2 Tl 3.10-3.25, 1 Sn 3.24
Sn (0.7733, 0.3377, 0.9127)  2 Hg 2.96-2.97, 2 Tl 3.10-3.25, 1 Sn 3.24
Sn (0.7267, 0.1394, 0.0644)  2 Hg 2.96-2.97, 2 Tl 3.10-3.25, 1 Sn 3.24
Sn (0.4356, 0.7733, 0.8606)  2 Hg 2.96-2.97, 2 Tl 3.10-3.25, 1 Sn 3.24
Sn (0.0750, 0.9127, 0.1394)  2 Hg 2.96-2.97, 2 Tl 3.10-3.25, 1 Sn 3.24
Sn (0.8606, 0.5873, 0.9250)  2 Hg 2.96-2.97, 2 Tl 3.10-3.25, 1 Sn 3.24
Sn (0.9127, 0.8377, 0.7733)  2 Hg 2.96-2.97, 2 Tl 3.10-3.25, 1 Sn 3.24
Sn (0.3377, 0.5644, 0.4250)  2 Hg 2.96-2.97, 2 Tl 3.10-3.25, 1 Sn 3.24
Sn (0.4250, 0.3606, 0.5873)  2 Hg 2.96-2.97, 2 Tl 3.10-3.25, 1 Sn 3.24
Tl (0.7500, 0.8750, 0.6250)  8 Sn 3.10-3.25
Tl (0.3750, 0.7500, 0.6250)  8 Sn 3.10-3.25
Tl (0.1250, 0.8750, 0.7500)  8 Sn 3.10-3.25
Tl (0.3750, 0.6250, 0.2500)  8 Sn 3.10-3.25
Tl (0.2500, 0.1250, 0.3750)  8 Sn 3.10-3.25
Tl (0.1250, 0.2500, 0.8750)  8 Sn 3.10-3.25
Tl (0.2500, 0.6250, 0.8750)  8 Sn 3.10-3.25
Tl (0.8750, 0.1250, 0.2500)  8 Sn 3.10-3.25
Tl (0.8750, 0.7500, 0.1250)  8 Sn 3.10-3.25
Tl (0.7500, 0.3750, 0.1250)  8 Sn 3.10-3.25
Tl (0.6250, 0.3750, 0.7500)  8 Sn 3.10-3.25
Tl (0.6250, 0.2500, 0.3750)  8 Sn 3.10-3.25

Properties
The total magnetization is 0.0 μB/cell. As for the energy relative to the elements: 19.7 kJ per mole of atoms. The density of states at the Fermi level comes out at 9.00 states/eV/f.u.